[1]
VASP calculation (PBE) on a geometry-optimized CaGdTm2 structure.

Output
The space group is R-3m (166). The value obtained for the excess energy over the best structure of this formula in the dataset is 91 meV/atom. The size of the total moment is 7.005 μB per formula unit. The calculation puts the density at 6.7 g/cm3.

Geometry as POSCAR:
```
CaGdTm2
1.0
1.759 1.016 12.425
-1.759 1.016 12.425
0.000 -2.032 12.425
Ca Gd Tm
1 1 2
Cartesian
0.000 0.000 0.000
0.000 0.000 18.637
0.000 0.000 3.383
0.000 0.000 33.892
```

[2]
VASP calculation (PBE) on a geometry-optimized NdPuGaPb structure.

Output
The space group is F-43m (216). The size of the total moment is 5.969 μB per formula unit. Its total energy is -6.7339 eV per atom. The calculation puts the density at 10.1 g/cm3.

Geometry as POSCAR:
```
NdPuGaPb
1.0
0.000 3.797 3.797
3.797 0.000 3.797
3.797 3.797 0.000
Nd Pu Ga Pb
1 1 1 1
Cartesian
0.000 0.000 0.000
3.797 3.797 3.797
5.696 5.696 5.696
1.899 1.899 1.899
```